1.
A plane-wave DFT calculation with PBE was carried out for a relaxed BaAgS2 crystal.

a b c (Å): 4.9164 4.9164 22.1681
angles (deg): 90.00 90.00 120.00
Closest atoms and distances in Å follow each position.
Element x y z (fractional)
Ba1 0.0000 0.0000 0.0000  6 S 3.16
Ba2 0.3333 0.6667 0.6667  6 S 3.16
Ba3 0.6667 0.3333 0.3333  6 S 3.16
Ag1 0.0000 0.0000 0.5000  2 S 2.30
Ag2 0.3333 0.6667 0.1667  2 S 2.30
Ag3 0.6667 0.3333 0.8333  2 S 2.30
S1 0.0000 0.0000 0.3960  1 Ag 2.30
S2 0.0000 0.0000 0.6040  1 Ag 2.30
S3 0.3333 0.6667 0.0627  1 Ag 2.30
S4 0.3333 0.6667 0.2706  1 Ag 2.30
S5 0.6667 0.3333 0.7294  1 Ag 2.30
S6 0.6667 0.3333 0.9373  1 Ag 2.30

Results
For the raw formation energy, the calculation gives -0.773 eV/atom. The theoretical density is 3.32 g/cm3. The calculation puts the total energy at -4.0302 eV per atom.



2.
A plane-wave DFT calculation with PBE was carried out for a relaxed Mg2SiP crystal.

a b c (Å): 4.3712 4.3712 3.6925
angles (deg): 90.00 90.00 90.00
Closest atoms and distances in Å follow each position.
Element x y z (fractional)
Mg1 0.0000 0.5000 0.0000  4 Si 2.86, 4 P 2.86, 4 Mg 3.09
Mg2 0.5000 0.0000 0.0000  4 Si 2.86, 4 P 2.86, 4 Mg 3.09
Si1 0.0000 0.0000 0.5000  8 Mg 2.86, 4 P 3.09
P1 0.5000 0.5000 0.5000  8 Mg 2.86, 4 Si 3.09

Results
For the raw formation energy, the calculation gives -0.007 eV/atom. The energy above the most stable polymorph in this dataset comes out at 34 meV/atom. The theoretical density is 2.53 g/cm3. The calculation puts the total energy at -3.5123 eV per atom.



3.
A plane-wave DFT calculation with PBE was carried out for a relaxed YSiGe3 crystal.

a b c (Å): 5.3499 5.3499 5.3499
angles (deg): 90.00 90.00 90.00
Closest atoms and distances in Å follow each position.
Element x y z (fractional)
Y1 0.0000 0.0000 0.0000  6 Ge 2.67
Si1 0.5000 0.5000 0.5000  12 Ge 3.78
Ge1 0.0000 0.0000 0.5000  2 Y 2.67
Ge2 0.0000 0.5000 0.0000  2 Y 2.67
Ge3 0.5000 0.0000 0.0000  2 Y 2.67

Results
For the raw formation energy, the calculation gives 1.062 eV/atom. The energy above the most stable polymorph in this dataset comes out at 837 meV/atom. The theoretical density is 3.63 g/cm3. The calculation puts the total energy at -4.0861 eV per atom.



4.
A plane-wave DFT calculation with PBE was carried out for a relaxed Cd2AgBr crystal.

a b c (Å): 3.4196 3.4196 7.9849
angles (deg): 90.00 90.00 90.00
Closest atoms and distances in Å follow each position.
Element x y z (fractional)
Cd1 0.0000 0.0000 0.0000  8 Cd 3.18-3.42, 4 Br 3.22
Cd2 0.5000 0.5000 0.2581  4 Ag 2.99, 4 Cd 3.18
Ag1 0.0000 0.0000 0.4784  4 Cd 2.99, 4 Br 3.16
Br1 0.5000 0.5000 0.7330  4 Ag 3.16, 4 Cd 3.22, 4 Br 3.42

Results
For the raw formation energy, the calculation gives -0.029 eV/atom. The energy above the most stable polymorph in this dataset comes out at 127 meV/atom. The theoretical density is 7.34 g/cm3. The calculation puts the total energy at -1.6178 eV per atom.



5.
A plane-wave DFT calculation with PBE was carried out for a relaxed BaSr2TlP crystal.

a b c (Å): 5.8553 5.8553 6.2831
angles (deg): 90.00 90.00 90.00
Closest atoms and distances in Å follow each position.
Element x y z (fractional)
Ba1 0.0000 0.0000 0.0000  2 P 3.14
Sr1 0.0000 0.5000 0.5000  2 P 2.93
Sr2 0.5000 0.0000 0.5000  2 P 2.93
Tl1 0.5000 0.5000 0.0000  4 Ba 4.14, 8 Sr 4.29
P1 0.0000 0.0000 0.5000  4 Sr 2.93, 2 Ba 3.14

Results
The theoretical density is 4.22 g/cm3. Its energy of formation from the pure elements is -0.558 eV per atom. The calculation puts the total energy at -3.1708 eV per atom.



6.
A plane-wave DFT calculation with PBE was carried out for a relaxed LiCdTcGe2 crystal.

a b c (Å): 4.4632 4.4632 4.4759
angles (deg): 90.00 90.00 90.00
Closest atoms and distances in Å follow each position.
Element x y z (fractional)
Li1 0.0000 0.0000 0.0000  4 Ge 2.23, 2 Tc 2.24
Cd1 0.5000 0.5000 0.5000  4 Tc 3.16, 8 Ge 3.16
Tc1 0.0000 0.0000 0.5000  2 Li 2.24
Ge1 0.0000 0.5000 0.0000  2 Li 2.23
Ge2 0.5000 0.0000 0.0000  2 Li 2.23

Results
The theoretical density is 6.75 g/cm3. Its energy of formation from the pure elements is 0.758 eV per atom. The calculation puts the total energy at -3.7281 eV per atom.



7.
A plane-wave DFT calculation with PBE was carried out for a relaxed PmLuInGa crystal.

a b c (Å): 7.3739 7.3739 7.3739
angles (deg): 90.00 90.00 90.00
Closest atoms and distances in Å follow each position.
Element x y z (fractional)
Pm1 0.0000 0.0000 0.0000  4 Ga 3.19, 4 In 3.19
Pm2 0.0000 0.5000 0.5000  4 Ga 3.19, 4 In 3.19
Pm3 0.5000 0.0000 0.5000  4 Ga 3.19, 4 In 3.19
Pm4 0.5000 0.5000 0.0000  4 Ga 3.19, 4 In 3.19
Lu1 0.0000 0.0000 0.5000  4 In 3.19, 4 Ga 3.19
Lu2 0.0000 0.5000 0.0000  4 In 3.19, 4 Ga 3.19
Lu3 0.5000 0.0000 0.0000  4 In 3.19, 4 Ga 3.19
Lu4 0.5000 0.5000 0.5000  4 In 3.19, 4 Ga 3.19
In1 0.2500 0.2500 0.2500  4 Pm 3.19, 4 Lu 3.19
In2 0.2500 0.7500 0.7500  4 Pm 3.19, 4 Lu 3.19
In3 0.7500 0.2500 0.7500  4 Pm 3.19, 4 Lu 3.19
In4 0.7500 0.7500 0.2500  4 Pm 3.19, 4 Lu 3.19
Ga1 0.2500 0.2500 0.7500  4 Pm 3.19, 4 Lu 3.19
Ga2 0.2500 0.7500 0.2500  4 Pm 3.19, 4 Lu 3.19
Ga3 0.7500 0.2500 0.2500  4 Pm 3.19, 4 Lu 3.19
Ga4 0.7500 0.7500 0.7500  4 Pm 3.19, 4 Lu 3.19

Results
The theoretical density is 8.36 g/cm3. Its energy of formation from the pure elements is -0.475 eV per atom. The calculation puts the total energy at -4.2346 eV per atom.



8.
A plane-wave DFT calculation with PBE was carried out for a relaxed CdPbCl2 crystal.

a b c (Å): 3.3602 4.1368 8.7502
angles (deg): 90.00 100.70 90.00
Closest atoms and distances in Å follow each position.
Element x y z (fractional)
Cd1 0.0000 0.0000 0.0000  4 Cl 3.22, 2 Cd 3.36
Pb1 0.0000 0.0000 0.5000  4 Cl 2.91
Cl1 0.1731 0.5000 0.2871  2 Pb 2.91, 2 Cd 3.22
Cl2 0.8269 0.5000 0.7129  2 Pb 2.91, 2 Cd 3.22

Results
For the raw formation energy, the calculation gives -0.587 eV/atom. The energy above the most stable polymorph in this dataset comes out at 113 meV/atom. The theoretical density is 5.43 g/cm3. The calculation puts the total energy at -2.6663 eV per atom.



9.
A plane-wave DFT calculation with PBE was carried out for a relaxed Cs2Cd4SbPb3 crystal.

a b c (Å): 5.1416 5.1416 12.9748
angles (deg): 90.00 90.00 90.00
Closest atoms and distances in Å follow each position.
Element x y z (fractional)
Cs1 0.0000 0.5000 0.2497  8 Cd 3.92-4.14, 6 Pb 3.96-4.14, 2 Sb 4.14
Cs2 0.5000 0.0000 0.7503  8 Cd 3.92-4.14, 6 Pb 3.96-4.14, 2 Sb 4.14
Cd1 0.0000 0.0000 0.0000  4 Pb 3.07
Cd2 0.0000 0.5000 0.6377  3 Pb 3.03-3.13, 2 Sb 3.13
Cd3 0.5000 0.0000 0.3623  3 Pb 3.03-3.13, 2 Sb 3.13
Cd4 0.5000 0.5000 0.0000  4 Pb 3.07
Sb1 0.0000 0.0000 0.5000  4 Cd 3.13
Pb1 0.0000 0.5000 0.8712  5 Cd 3.03-3.07
Pb2 0.5000 0.0000 0.1288  5 Cd 3.03-3.07
Pb3 0.5000 0.5000 0.5000  4 Cd 3.13

Results
For the raw formation energy, the calculation gives -0.111 eV/atom. The theoretical density is 7.06 g/cm3. The calculation puts the total energy at -2.1728 eV per atom.



10.
A plane-wave DFT calculation with PBE was carried out for a relaxed Li3ZrBe crystal.

a b c (Å): 4.3302 4.3302 4.3302
angles (deg): 90.00 90.00 90.00
Closest atoms and distances in Å follow each position.
Element x y z (fractional)
Li1 0.0000 0.0000 0.5000  2 Be 2.17
Li2 0.0000 0.5000 0.0000  2 Be 2.17
Li3 0.5000 0.0000 0.0000  2 Be 2.17
Zr1 0.5000 0.5000 0.5000  12 Li 3.06
Be1 0.0000 0.0000 0.0000  6 Li 2.17

Results
The energy above the most stable polymorph in this dataset comes out at 0 meV/atom. The theoretical density is 2.48 g/cm3. Its energy of formation from the pure elements is 0.615 eV per atom. The calculation puts the total energy at -2.9882 eV per atom.



11.
A plane-wave DFT calculation with PBE was carried out for a relaxed PuBRu crystal.

a b c (Å): 3.6957 3.6957 4.1179
angles (deg): 90.00 90.00 120.00
Closest atoms and distances in Å follow each position.
Element x y z (fractional)
Pu1 0.0000 0.0000 0.0000  6 Ru 2.97, 6 B 2.97
B1 0.3333 0.6667 0.5000  3 Ru 2.13
Ru1 0.6667 0.3333 0.5000  3 B 2.13

Results
The energy above the most stable polymorph in this dataset comes out at 0 meV/atom. The theoretical density is 12.13 g/cm3. Its energy of formation from the pure elements is -0.185 eV per atom. The calculation puts the total energy at -10.2802 eV per atom.



Please write out number 4 again, unchanged.
A plane-wave DFT calculation with PBE was carried out for a relaxed Cd2AgBr crystal.

a b c (Å): 3.4196 3.4196 7.9849
angles (deg): 90.00 90.00 90.00
Closest atoms and distances in Å follow each position.
Element x y z (fractional)
Cd1 0.0000 0.0000 0.0000  8 Cd 3.18-3.42, 4 Br 3.22
Cd2 0.5000 0.5000 0.2581  4 Ag 2.99, 4 Cd 3.18
Ag1 0.0000 0.0000 0.4784  4 Cd 2.99, 4 Br 3.16
Br1 0.5000 0.5000 0.7330  4 Ag 3.16, 4 Cd 3.22, 4 Br 3.42

Results
For the raw formation energy, the calculation gives -0.029 eV/atom. The energy above the most stable polymorph in this dataset comes out at 127 meV/atom. The theoretical density is 7.34 g/cm3. The calculation puts the total energy at -1.6178 eV per atom.



> Number 2 is which compound?

Mg2SiP



> What is the formula in the second record?

Mg2SiP